Run one
Here is LiNbPS2 after structural relaxation from the Alexandria database. Energies are from PBE.

The structure belongs to space group P4/mmm (No. 123); the cell edges are 4.8249, 4.8249 and 4.8825 Å and the angles 90.00°, 90.00° and 90.00°. The asymmetric unit holds Li at (0.0000, 0.0000, 0.0000), Nb at (0.5000, 0.5000, 0.5000), P at (0.5000, 0.5000, 0.0000) and S at (0.0000, 0.5000, 0.5000).

The density of states at the Fermi level is 0.426 states/eV/cell. For the calculated volume, the calculation gives 114 Å³/f.u.

***

Run two
Here is LiNbPS2 after structural relaxation from the Alexandria database. Energies are from PBE.

The structure belongs to space group P4/mmm (No. 123); the cell edges are 4.3192, 4.3192 and 4.2557 Å and the angles 90.00°, 90.00° and 90.00°. The asymmetric unit holds Li at (0.0000, 0.0000, 0.0000), Nb at (0.5000, 0.5000, 0.5000), P at (0.0000, 0.0000, 0.5000) and S at (0.0000, 0.5000, 0.0000).

The density of states at the Fermi level is 4.543 states/eV/cell. For the calculated volume, the calculation gives 79 Å³/f.u.

***

Bottom line: run one, by a margin of 0.875 eV/atom.

***

Run one
Here is LiNbP2S after structural relaxation from the Alexandria database. Energies are from PBE.

The structure belongs to space group P4/mmm (No. 123); the cell edges are 4.1008, 4.1008 and 4.7427 Å and the angles 90.00°, 90.00° and 90.00°. The asymmetric unit holds Li at (0.0000, 0.0000, 0.0000), Nb at (0.5000, 0.5000, 0.5000), P at (0.0000, 0.5000, 0.0000) and S at (0.0000, 0.0000, 0.5000).

The density of states at the Fermi level is 3.648 states/eV/cell. For the calculated volume, the calculation gives 80 Å³/f.u.

***

Run two
Here is LiNbP2S after structural relaxation from the Alexandria database. Energies are from PBE.

The structure belongs to space group P4/mmm (No. 123); the cell edges are 4.8668, 4.8668 and 4.8127 Å and the angles 90.00°, 90.00° and 90.00°. The asymmetric unit holds Li at (0.0000, 0.0000, 0.0000), Nb at (0.5000, 0.5000, 0.5000), P at (0.0000, 0.5000, 0.5000) and S at (0.5000, 0.5000, 0.0000).

The density of states at the Fermi level is 4.188 states/eV/cell. For the calculated volume, the calculation gives 114 Å³/f.u.

***

Bottom line: run two, by a margin of 0.726 eV/atom.

***

Run one
Here is Li2Nb2Pb after structural relaxation from the Alexandria database. Energies are from PBE.

The structure belongs to space group P4/mbm (No. 127); the cell edges are 7.8282, 7.8282 and 3.0939 Å and the angles 90.00°, 90.00° and 90.00°. The asymmetric unit holds Li at (0.1846, 0.3154, 0.0000), Nb at (0.1126, 0.6126, 0.5000) and Pb at (0.0000, 0.0000, 0.5000).

The density of states at the Fermi level is 8.701 states/eV/cell. For the calculated volume, the calculation gives 95 Å³/f.u.

***

Run two
Here is Li2Nb2Pb after structural relaxation from the Alexandria database. Energies are from PBE.

The structure belongs to space group I4/mmm (No. 139); the cell edges are 3.8784, 3.8784 and 14.0558 Å and the angles 90.00°, 90.00° and 90.00°. The asymmetric unit holds Li at (0.0000, 0.5000, 0.2500), Nb at (0.0000, 0.0000, 0.0838) and Pb at (0.0000, 0.0000, 0.5000).

The density of states at the Fermi level is 5.632 states/eV/cell. For the calculated volume, the calculation gives 106 Å³/f.u.

***

Bottom line: run one, by a margin of 0.092 eV/atom.

***

Run one
Here is LiNbPb3 after structural relaxation from the Alexandria database. Energies are from PBE.

The structure belongs to space group Pm-3m (No. 221); the cell edges are 5.0204, 5.0204 and 5.0204 Å and the angles 90.00°, 90.00° and 90.00°. The asymmetric unit holds Li at (0.0000, 0.0000, 0.0000), Nb at (0.5000, 0.5000, 0.5000) and Pb at (0.0000, 0.0000, 0.5000).

The density of states at the Fermi level is 10.743 states/eV/cell. For the calculated volume, the calculation gives 127 Å³/f.u.

***

Run two
Here is LiNbPb3 after structural relaxation from the Alexandria database. Energies are from PBE.

The structure belongs to space group Pm-3m (No. 221); the cell edges are 5.5415, 5.5415 and 5.5415 Å and the angles 90.00°, 90.00° and 90.00°. The asymmetric unit holds Li at (0.0000, 0.0000, 0.0000), Nb at (0.5000, 0.5000, 0.5000) and Pb at (0.0000, 0.5000, 0.5000).

The density of states at the Fermi level is 3.241 states/eV/cell. For the calculated volume, the calculation gives 170 Å³/f.u.

***

Bottom line: run two, by a margin of 0.502 eV/atom.

***

Run one
Here is Li2NbPd after structural relaxation from the Alexandria database. Energies are from PBE.

The structure belongs to space group R-3m (No. 166, hexagonal axes); the cell edges are 2.7775, 2.7775 and 29.5194 Å and the angles 90.00°, 90.00° and 120.00°. The asymmetric unit holds Li at (0.0000, 0.0000, 0.0956), Nb at (0.0000, 0.0000, 0.0000) and Pd at (0.0000, 0.0000, 0.5000).

The density of states at the Fermi level is 9.559 states/eV/cell. For the calculated volume, the calculation gives 66 Å³/f.u.

***

Run two
Here is Li2NbPd after structural relaxation from the Alexandria database. Energies are from PBE.

The structure belongs to space group Fm-3m (No. 225); the cell edges are 6.1017, 6.1017 and 6.1017 Å and the angles 90.00°, 90.00° and 90.00°. The asymmetric unit holds Li at (0.2500, 0.2500, 0.2500), Nb at (0.0000, 0.0000, 0.0000) and Pd at (0.0000, 0.0000, 0.5000).

The density of states at the Fermi level is 19.830 states/eV/cell. For the calculated volume, the calculation gives 57 Å³/f.u.

***

Run three
Here is Li2NbPd after structural relaxation from the Alexandria database. Energies are from PBE.

The structure belongs to space group I-42d (No. 122); the cell edges are 7.0346, 7.0346 and 5.2261 Å and the angles 90.00°, 90.00° and 90.00°. The asymmetric unit holds Li at (0.2212, 0.2500, 0.1250), Nb at (0.0000, 0.0000, 0.5000) and Pd at (0.0000, 0.0000, 0.0000).

The density of states at the Fermi level is 14.539 states/eV/cell. For the calculated volume, the calculation gives 65 Å³/f.u.

***

Bottom line: run one, by a margin of 0.262 eV/atom.

***

Run one
Here is LiNbPd3 after structural relaxation from the Alexandria database. Energies are from PBE.

The structure belongs to space group Pm-3m (No. 221); the cell edges are 4.2530, 4.2530 and 4.2530 Å and the angles 90.00°, 90.00° and 90.00°. The asymmetric unit holds Li at (0.0000, 0.0000, 0.0000), Nb at (0.5000, 0.5000, 0.5000) and Pd at (0.0000, 0.0000, 0.5000).

The density of states at the Fermi level is 7.897 states/eV/cell. For the calculated volume, the calculation gives 77 Å³/f.u.

***

Run two
Here is LiNbPd3 after structural relaxation from the Alexandria database. Energies are from PBE.

The structure belongs to space group P-1 (No. 2); the cell edges are 5.0791, 5.1322 and 7.0892 Å and the angles 93.97°, 103.32° and 118.97°. The asymmetric unit holds Li at (0.2490, 0.4978, 0.4931), Nb at (0.0616, 0.8505, 0.1474), Pd at (0.0000, 0.0000, 0.5000), Pd at (0.2534, 0.7924, 0.8282), Pd at (0.4257, 0.5683, 0.1671) and Pd at (0.5000, 0.0000, 0.5000).

The density of states at the Fermi level is 7.062 states/eV/cell. For the calculated volume, the calculation gives 77 Å³/f.u.

***

Run three
Here is LiNbPd3 after structural relaxation from the Alexandria database. Energies are from PBE.

The structure belongs to space group Pm-3m (No. 221); the cell edges are 4.8774, 4.8774 and 4.8774 Å and the angles 90.00°, 90.00° and 90.00°. The asymmetric unit holds Li at (0.0000, 0.0000, 0.0000), Nb at (0.5000, 0.5000, 0.5000) and Pd at (0.0000, 0.5000, 0.5000).

The density of states at the Fermi level is 4.291 states/eV/cell. For the calculated volume, the calculation gives 116 Å³/f.u.

***

Bottom line: run two, by a margin of 0.485 eV/atom.

***

Run one
Here is LiNbPd5 after structural relaxation from the Alexandria database. Energies are from PBE.

The structure belongs to space group C2/c (No. 15); the cell edges are 9.3559, 5.6092 and 9.2529 Å and the angles 90.00°, 105.73° and 90.00°. The asymmetric unit holds Li at (0.2500, 0.2500, 0.0000), Nb at (0.0000, 0.1274, 0.2500), Pd at (0.0000, 0.3288, 0.7500), Pd at (0.1032, 0.3285, 0.4924) and Pd at (0.2487, 0.0709, 0.7369).

The density of states at the Fermi level is 12.147 states/eV/cell. For the calculated volume, the calculation gives 117 Å³/f.u.

***

Run two
Here is LiNbPd5 after structural relaxation from the Alexandria database. Energies are from PBE.

The structure belongs to space group P4/mmm (No. 123); the cell edges are 4.0306, 4.0306 and 6.6940 Å and the angles 90.00°, 90.00° and 90.00°. The asymmetric unit holds Li at (0.0000, 0.0000, 0.0000), Nb at (0.5000, 0.5000, 0.5000), Pd at (0.0000, 0.0000, 0.5000) and Pd at (0.0000, 0.5000, 0.2178).

The density of states at the Fermi level is 4.750 states/eV/cell. For the calculated volume, the calculation gives 109 Å³/f.u.

***

Bottom line: run two, by a margin of 0.105 eV/atom.

***

Run one
Here is LiNbPt after structural relaxation from the Alexandria database. Energies are from PBE.

The structure belongs to space group P3m1 (No. 156); the cell edges are 4.3724, 4.3724 and 2.7541 Å and the angles 90.00°, 90.00° and 120.00°. The asymmetric unit holds Li at (0.0000, 0.0000, 0.0000), Nb at (0.6667, 0.3333, 0.5986) and Pt at (0.3333, 0.6667, 0.1766).

The density of states at the Fermi level is 2.895 states/eV/cell. For the calculated volume, the calculation gives 46 Å³/f.u.

***

Run two
Here is LiNbPt after structural relaxation from the Alexandria database. Energies are from PBE.

The structure belongs to space group Fmmm (No. 69); the cell edges are 5.3488, 7.0002 and 11.2976 Å and the angles 90.00°, 90.00° and 90.00°. The asymmetric unit holds Li at (0.0000, 0.1672, 0.0000), Nb at (0.2500, 0.2500, 0.2500) and Pt at (0.0000, 0.0000, 0.3849).

The density of states at the Fermi level is 10.658 states/eV/cell. For the calculated volume, the calculation gives 53 Å³/f.u.

***

Bottom line: run one, by a margin of 0.062 eV/atom.